(1)
Entry from Alexandria: a relaxed structure of Th2AsSe (GGA-PBE).

POSCAR file:
```
Th2AsSe
1.0
-3.763 1.557 0.166
-3.086 -2.272 1.387
-0.948 2.237 7.541
Th Se As
2 1 1
direct
0.078 0.078 0.765
0.255 0.255 0.234
0.499 0.499 0.503
0.667 0.667 0.999
```

Output
The value obtained for the density is 9.4 g cm⁻³. The calculation puts the offset from the most stable computed form at 93 meV/atom. As for the raw total energy: -28.6 eV for the cell shown. The value obtained for the size of the total moment is 0.000 μB per formula unit. Its density of states at the Fermi level is 0.842 states/eV/atom.

=====

(2)
Entry from Alexandria: a relaxed structure of Th4AsSe3 (GGA-PBE).

POSCAR file:
```
Th4AsSe3
1.0
5.962 0.000 0.000
0.000 5.962 0.000
0.000 0.000 5.962
Th Se As
4 3 1
direct
0.000 0.000 0.500
0.500 0.000 0.000
0.000 0.500 0.000
0.500 0.500 0.500
0.000 0.500 0.500
0.500 0.000 0.500
0.500 0.500 0.000
0.000 0.000 0.000
```

Output
The value obtained for the density is 9.7 g cm⁻³. As for the raw total energy: -57.0 eV for the cell shown. The value obtained for the size of the total moment is 0.000 μB per formula unit. Its density of states at the Fermi level is 0.429 states/eV/atom.

=====

Formation energy from raw total energies list, top to bottom, in kJ per mole of atoms: -135; -147